# SiNiAsSe2 (PBE, optimized geometry)
# **Total DFT energy (no corrections)**: -0.148 Ha/atom
# **Formation energy without anion corrections**: 12.1 kcal/mol of atoms
# **Magnetization**: 0.000 μB/f.u.
data_SiNiAsSe2
_space_group_name_H-M_alt 'P 1'
_space_group_IT_number 1
_cell_length_a 4.914
_cell_length_b 4.914
_cell_length_c 4.322
_cell_angle_alpha 90.00
_cell_angle_beta 90.00
_cell_angle_gamma 90.00
loop_
_space_group_symop_operation_xyz
'x,y,z'
loop_
_atom_site_label
_atom_site_fract_x
_atom_site_fract_y
_atom_site_fract_z
Si1 0.000 0.000 0.000
Ni1 0.500 0.500 0.500
As1 0.500 0.500 0.000
Se1 0.000 0.500 0.500
Se2 0.500 0.000 0.500

---

# NiSnAs2Se (PBE, optimized geometry)
# **Total DFT energy (no corrections)**: -0.157 Ha/atom
# **Formation energy without anion corrections**: 5.7 kcal/mol of atoms
# **Magnetization**: 0.000 μB/f.u.
data_NiSnAs2Se
_space_group_name_H-M_alt 'P 1'
_space_group_IT_number 1
_cell_length_a 4.583
_cell_length_b 4.583
_cell_length_c 5.165
_cell_angle_alpha 90.00
_cell_angle_beta 90.00
_cell_angle_gamma 90.00
loop_
_space_group_symop_operation_xyz
'x,y,z'
loop_
_atom_site_label
_atom_site_fract_x
_atom_site_fract_y
_atom_site_fract_z
Ni1 0.000 0.000 0.000
Sn1 0.500 0.500 0.500
As1 0.000 0.500 0.000
As2 0.500 0.000 0.000
Se1 0.000 0.000 0.500